A plane-wave DFT calculation with PBE was carried out for a relaxed BaTl7Bi4 crystal.

Cell and atoms, written as POSCAR:
```
BaTl7Bi4
1.0
6.299 0.000 0.000
3.149 9.920 -0.305
3.149 0.095 7.049
Ba Tl Bi
1 7 4
direct
0.000 0.000 0.000
0.792 0.887 0.529
0.208 0.113 0.471
0.086 0.640 0.188
0.914 0.360 0.812
0.351 0.581 0.717
0.500 0.000 0.000
0.649 0.419 0.283
0.560 0.218 0.662
0.440 0.782 0.338
0.712 0.683 0.893
0.288 0.317 0.107
```

## Properties
Fermi-level density of states: 0.437 states/eV per atom
E_form: -0.028 eV/atom
Calculated total energy: -2.86 eV per atom
M_tot: 0.000 μB/atom

***

A plane-wave DFT calculation with PBE was carried out for a relaxed PbF3 crystal.

Cell and atoms, written as POSCAR:
```
PbF3
1.0
-2.664 -0.807 4.603
4.656 -0.005 2.694
-0.685 9.109 1.201
F Pb
12 4
direct
0.280 0.720 0.250
0.720 0.280 0.250
0.720 0.720 0.750
0.280 0.280 0.750
0.204 0.204 0.095
0.796 0.796 0.095
0.204 0.796 0.905
0.796 0.204 0.905
0.204 0.796 0.595
0.796 0.204 0.595
0.204 0.204 0.405
0.796 0.796 0.405
0.000 0.000 0.250
0.000 0.000 0.750
0.500 0.500 0.000
0.500 0.500 0.500
```

## Properties
Fermi-level density of states: 0.000 states/eV per atom
Formation energy without anion corrections: -2.13 eV/atom
Calculated total energy: -4.46 eV per atom
M_tot: 0.000 μB/atom

***

A plane-wave DFT calculation with PBE was carried out for a relaxed ThNpBiO6 crystal.

Cell and atoms, written as POSCAR:
```
ThNpBiO6
1.0
6.035 0.000 0.000
-3.017 5.226 0.000
0.000 0.000 9.327
Th Np Bi O
2 2 2 12
direct
0.333 0.667 0.250
0.667 0.333 0.750
0.667 0.333 0.250
0.333 0.667 0.750
0.000 0.000 0.000
0.000 0.000 0.500
0.663 0.641 0.135
0.978 0.337 0.135
0.337 0.978 0.635
0.022 0.663 0.865
0.359 0.337 0.365
0.978 0.641 0.365
0.641 0.978 0.865
0.663 0.022 0.365
0.022 0.359 0.635
0.359 0.022 0.135
0.641 0.663 0.635
0.337 0.359 0.865
```

## Properties
Fermi-level density of states: 0.799 states/eV per atom
Formation energy without anion corrections: -2.61 eV/atom
Calculated total energy: -8.61 eV per atom
M_tot: 0.222 μB/atom

***

A plane-wave DFT calculation with PBE was carried out for a relaxed SrBeW2 crystal.

Cell and atoms, written as POSCAR:
```
SrBeW2
1.0
-0.627 0.926 -3.034
1.018 -2.871 -1.086
-6.801 -2.639 0.600
Sr W Be
1 2 1
direct
0.500 0.500 0.750
0.000 0.000 0.093
0.000 0.000 0.407
0.500 0.500 0.250
```

## Properties
Fermi-level density of states: 0.666 states/eV per atom
E_form: 0.809 eV/atom
Calculated total energy: -7.02 eV per atom
M_tot: 0.000 μB/atom